No. 1
DFT (PBE-GGA) results for a relaxed structure of Fe2PSe.

## Properties
Space group   Cm, No. 8

Structure (extended XYZ):
```
4
Lattice="3.7390 -1.5183 0.0000 3.7390 1.5183 0.0000 -1.0137 0.0000 4.8666" Properties=species:S:1:pos:R:3 pbc="T T T"
Fe 0.0000 0.0000 0.0000
Fe 1.0394 0.0000 2.9249
P 3.1764 0.0000 3.2900
Se 5.2956 0.0000 1.0841
```

***

No. 2
DFT (PBE-GGA) results for a relaxed structure of FePSe4.

## Properties
Space group   F-43m, No. 216

Structure (extended XYZ):
```
6
Lattice="0.0000 3.9425 3.9425 3.9425 0.0000 3.9425 3.9425 3.9425 0.0000" Properties=species:S:1:pos:R:3 pbc="T T T"
Fe 0.0000 0.0000 0.0000
P 5.9137 5.9137 5.9137
Se 2.9544 2.9544 2.9544
Se 4.9306 4.9306 2.9544
Se 4.9306 2.9544 4.9306
Se 2.9544 4.9306 4.9306
```

***

No. 3
DFT (PBE-GGA) results for a relaxed structure of Fe2PSe.

## Properties
Space group   Fm-3m, No. 225

Structure (extended XYZ):
```
4
Lattice="0.0000 2.9452 2.9452 2.9452 0.0000 2.9452 2.9452 2.9452 0.0000" Properties=species:S:1:pos:R:3 pbc="T T T"
Fe 1.4726 1.4726 1.4726
Fe 4.4178 4.4178 4.4178
P 0.0000 0.0000 0.0000
Se 2.9452 2.9452 2.9452
```

***

No. 4
DFT (PBE-GGA) results for a relaxed structure of Fe2PSe.

## Properties
Space group   P4mm, No. 99

Structure (extended XYZ):
```
4
Lattice="3.1674 0.0000 0.0000 0.0000 3.1674 0.0000 0.0000 0.0000 5.8603" Properties=species:S:1:pos:R:3 pbc="T T T"
Fe 0.0000 0.0000 0.0000
Fe 1.5837 1.5837 1.4968
P 0.0000 0.0000 2.2306
Se 1.5837 1.5837 4.9044
```

***

No. 5
DFT (PBE-GGA) results for a relaxed structure of FePSe2.

## Properties
Space group   F-43m, No. 216

Structure (extended XYZ):
```
4
Lattice="0.0000 3.2137 3.2137 3.2137 0.0000 3.2137 3.2137 3.2137 0.0000" Properties=species:S:1:pos:R:3 pbc="T T T"
Fe 0.0000 0.0000 0.0000
P 1.6068 1.6068 1.6068
Se 3.2137 3.2137 3.2137
Se 4.8205 4.8205 4.8205
```

***

No. 6
DFT (PBE-GGA) results for a relaxed structure of FePSe2.

## Properties
Space group   Pmmm, No. 47

Structure (extended XYZ):
```
4
Lattice="3.5002 0.0000 0.0000 0.0000 3.5110 0.0000 0.0000 0.0000 7.5035" Properties=species:S:1:pos:R:3 pbc="T T T"
Fe 0.0000 0.0000 0.0000
P 1.7501 0.0000 3.7518
Se 0.0000 1.7555 3.7518
Se 1.7501 1.7555 0.0000
```

***

no.,formation energy from raw total energies (eV/atom),ρ (Mg/m³),E_tot (eV/atom)
1,-0.1143,6.66,-6.569
2,1.0788,5.46,-3.556
3,0.1378,7.20,-6.317
4,-0.0495,6.26,-6.504
5,0.6665,6.12,-4.544
6,0.4323,4.41,-4.778